No. 1
Material: Rb2HfI8
Method: DFT, GGA-PBE
State: relaxed

a = 15.498 Å, b = 12.762 Å, c = 6.475 Å
α = 90.00°, β = 103.55°, γ = 90.00°
Space group C2/m (No. 12)
Asymmetric unit:
Rb (0.221, 0.000, 0.108) (multiplicity 4)
Hf (0.000, 0.500, 0.000) (multiplicity 2)
I (0.003, 0.000, 0.256) (multiplicity 4)
I (0.073, 0.339, 0.789) (multiplicity 8)
I (0.162, 0.500, 0.324) (multiplicity 4)

## Properties
Its density of states at the Fermi level is 14.75 states/eV/f.u. The value obtained for the energy is -3.086 eV per atom.

***

No. 2
Material: Rb2HfI7
Method: DFT, GGA-PBE
State: relaxed

a = 8.970 Å, b = 8.970 Å, c = 13.396 Å
α = 90.00°, β = 90.00°, γ = 90.00°
Space group I4/mmm (No. 139)
Asymmetric unit:
Rb (0.000, 0.500, 0.250) (multiplicity 4)
Hf (0.000, 0.000, 0.000) (multiplicity 2)
I (0.000, 0.000, 0.213) (multiplicity 4)
I (0.000, 0.000, 0.500) (multiplicity 2)
I (0.225, 0.225, 0.000) (multiplicity 8)

## Properties
Its density of states at the Fermi level is 7.95 states/eV/f.u. The value obtained for the energy is -3.176 eV per atom.

***

No. 3
Material: Rb2HfRhI6
Method: DFT, GGA-PBE
State: relaxed

a = 8.189 Å, b = 8.189 Å, c = 11.539 Å
α = 90.00°, β = 90.00°, γ = 90.00°
Space group I4/mmm (No. 139)
Asymmetric unit:
Rb (0.000, 0.500, 0.250) (multiplicity 4)
Hf (0.000, 0.000, 0.000) (multiplicity 2)
Rh (0.000, 0.000, 0.500) (multiplicity 2)
I (0.000, 0.000, 0.250) (multiplicity 4)
I (0.250, 0.250, 0.000) (multiplicity 8)

## Properties
Its density of states at the Fermi level is 3.70 states/eV/f.u. The value obtained for the energy is -3.612 eV per atom.

***

No. 4
Material: RbHfSb2I
Method: DFT, GGA-PBE
State: relaxed

a = 5.515 Å, b = 5.515 Å, c = 6.281 Å
α = 90.00°, β = 90.00°, γ = 90.00°
Space group P4/mmm (No. 123)
Asymmetric unit:
Rb (0.000, 0.000, 0.000) (multiplicity 1)
Hf (0.500, 0.500, 0.500) (multiplicity 1)
Sb (0.000, 0.500, 0.500) (multiplicity 2)
I (0.500, 0.500, 0.000) (multiplicity 1)

## Properties
Its density of states at the Fermi level is 2.50 states/eV/f.u. The value obtained for the energy is -4.523 eV per atom. The calculation puts the polymorph energy (0 for the lowest one) at 0.000 eV/atom.

***

No. 5
Material: RbHfSb2I
Method: DFT, GGA-PBE
State: relaxed

a = 5.872 Å, b = 5.872 Å, c = 5.998 Å
α = 90.00°, β = 90.00°, γ = 90.00°
Space group P4/mmm (No. 123)
Asymmetric unit:
Rb (0.000, 0.000, 0.000) (multiplicity 1)
Hf (0.500, 0.500, 0.500) (multiplicity 1)
Sb (0.000, 0.500, 0.000) (multiplicity 2)
I (0.000, 0.000, 0.500) (multiplicity 1)

## Properties
Its density of states at the Fermi level is 4.32 states/eV/f.u. The value obtained for the energy is -2.629 eV per atom. The calculation puts the polymorph energy (0 for the lowest one) at 1.894 eV/atom.

***

No. 6
Material: Rb2HfSeI6
Method: DFT, GGA-PBE
State: relaxed

a = 9.265 Å, b = 9.265 Å, c = 11.208 Å
α = 90.00°, β = 90.00°, γ = 90.00°
Space group I4/mmm (No. 139)
Asymmetric unit:
Rb (0.000, 0.500, 0.250) (multiplicity 4)
Hf (0.000, 0.000, 0.000) (multiplicity 2)
Se (0.000, 0.000, 0.500) (multiplicity 2)
I (0.000, 0.000, 0.255) (multiplicity 4)
I (0.218, 0.218, 0.000) (multiplicity 8)

## Properties
Its density of states at the Fermi level is 4.01 states/eV/f.u. The value obtained for the energy is -3.284 eV per atom.

***

No. 7
Material: Rb2HfSiI6
Method: DFT, GGA-PBE
State: relaxed

a = 8.310 Å, b = 8.310 Å, c = 12.887 Å
α = 90.00°, β = 90.00°, γ = 90.00°
Space group I4/mmm (No. 139)
Asymmetric unit:
Rb (0.000, 0.500, 0.250) (multiplicity 4)
Hf (0.000, 0.000, 0.000) (multiplicity 2)
Si (0.000, 0.000, 0.500) (multiplicity 2)
I (0.000, 0.000, 0.224) (multiplicity 4)
I (0.247, 0.247, 0.000) (multiplicity 8)

## Properties
Its density of states at the Fermi level is 6.33 states/eV/f.u. The value obtained for the energy is -3.332 eV per atom.

***

No. 8
Material: Rb2HfSnI6
Method: DFT, GGA-PBE
State: relaxed

a = 8.698 Å, b = 8.698 Å, c = 12.344 Å
α = 90.00°, β = 90.00°, γ = 90.00°
Space group I4/mmm (No. 139)
Asymmetric unit:
Rb (0.000, 0.500, 0.250) (multiplicity 4)
Hf (0.000, 0.000, 0.000) (multiplicity 2)
Sn (0.000, 0.000, 0.500) (multiplicity 2)
I (0.000, 0.000, 0.236) (multiplicity 4)
I (0.236, 0.236, 0.000) (multiplicity 8)

## Properties
Its density of states at the Fermi level is 7.97 states/eV/f.u. The value obtained for the energy is -3.309 eV per atom.

***

No. 9
Material: Rb2SrHfI6
Method: DFT, GGA-PBE
State: relaxed

a = 12.262 Å, b = 12.262 Å, c = 12.262 Å
α = 90.00°, β = 90.00°, γ = 90.00°
Space group Fm-3m (No. 225)
Asymmetric unit:
Rb (0.250, 0.250, 0.250) (multiplicity 8)
Sr (0.000, 0.000, 0.000) (multiplicity 4)
Hf (0.000, 0.000, 0.500) (multiplicity 4)
I (0.000, 0.000, 0.262) (multiplicity 24)

## Properties
Its density of states at the Fermi level is 6.59 states/eV/f.u. The value obtained for the energy is -3.397 eV per atom.

***

No. 10
Material: Rb2HfTcI6
Method: DFT, GGA-PBE
State: relaxed

a = 8.068 Å, b = 8.068 Å, c = 11.437 Å
α = 90.00°, β = 90.00°, γ = 90.00°
Space group I4/mmm (No. 139)
Asymmetric unit:
Rb (0.000, 0.500, 0.250) (multiplicity 4)
Hf (0.000, 0.000, 0.000) (multiplicity 2)
Tc (0.000, 0.000, 0.500) (multiplicity 2)
I (0.000, 0.000, 0.254) (multiplicity 4)
I (0.246, 0.246, 0.500) (multiplicity 8)

## Properties
Its density of states at the Fermi level is 9.54 states/eV/f.u. The value obtained for the energy is -3.680 eV per atom.

***

No. 11
Material: RbHfTeI2
Method: DFT, GGA-PBE
State: relaxed

a = 5.835 Å, b = 5.835 Å, c = 5.613 Å
α = 90.00°, β = 90.00°, γ = 90.00°
Space group P4/mmm (No. 123)
Asymmetric unit:
Rb (0.000, 0.000, 0.000) (multiplicity 1)
Hf (0.500, 0.500, 0.500) (multiplicity 1)
Te (0.500, 0.500, 0.000) (multiplicity 1)
I (0.000, 0.500, 0.500) (multiplicity 2)

## Properties
Its density of states at the Fermi level is 1.70 states/eV/f.u. The value obtained for the energy is -4.221 eV per atom. The calculation puts the polymorph energy (0 for the lowest one) at 0.000 eV/atom.

***

No. 12
Material: Rb2HfTeI6
Method: DFT, GGA-PBE
State: relaxed

a = 9.454 Å, b = 9.454 Å, c = 11.638 Å
α = 90.00°, β = 90.00°, γ = 90.00°
Space group I4/mmm (No. 139)
Asymmetric unit:
Rb (0.000, 0.500, 0.250) (multiplicity 4)
Hf (0.000, 0.000, 0.000) (multiplicity 2)
Te (0.000, 0.000, 0.500) (multiplicity 2)
I (0.000, 0.000, 0.246) (multiplicity 4)
I (0.214, 0.214, 0.000) (multiplicity 8)

## Properties
Its density of states at the Fermi level is 5.14 states/eV/f.u. The value obtained for the energy is -3.236 eV per atom.

***

No. 13
Material: RbHfTeI2
Method: DFT, GGA-PBE
State: relaxed

a = 6.288 Å, b = 6.288 Å, c = 6.332 Å
α = 90.00°, β = 90.00°, γ = 90.00°
Space group P4/mmm (No. 123)
Asymmetric unit:
Rb (0.000, 0.000, 0.000) (multiplicity 1)
Hf (0.500, 0.500, 0.500) (multiplicity 1)
Te (0.000, 0.000, 0.500) (multiplicity 1)
I (0.000, 0.500, 0.000) (multiplicity 2)

## Properties
Its density of states at the Fermi level is 7.17 states/eV/f.u. The value obtained for the energy is -2.482 eV per atom. The calculation puts the polymorph energy (0 for the lowest one) at 1.740 eV/atom.

***

No. 14
Material: RbHfTl2I8
Method: DFT, GGA-PBE
State: relaxed

a = 6.755 Å, b = 8.183 Å, c = 10.077 Å
α = 89.52°, β = 72.94°, γ = 86.22°
Space group P-1 (No. 2)
Asymmetric unit:
Rb (0.000, 0.000, 0.000) (multiplicity 1)
Hf (0.000, 0.000, 0.500) (multiplicity 1)
Tl (0.339, 0.546, 0.315) (multiplicity 2)
I (0.169, 0.265, 0.605) (multiplicity 2)
I (0.201, 0.773, 0.640) (multiplicity 2)
I (0.247, 0.499, 0.000) (multiplicity 2)
I (0.346, 0.971, 0.252) (multiplicity 2)

## Properties
Its density of states at the Fermi level is 1.88 states/eV/f.u. The value obtained for the energy is -3.166 eV per atom.

***

No. 15
Material: Rb2HfVI6
Method: DFT, GGA-PBE
State: relaxed

a = 8.260 Å, b = 8.260 Å, c = 11.674 Å
α = 90.00°, β = 90.00°, γ = 90.00°
Space group I4/mmm (No. 139)
Asymmetric unit:
Rb (0.000, 0.500, 0.250) (multiplicity 4)
Hf (0.000, 0.000, 0.000) (multiplicity 2)
V (0.000, 0.000, 0.500) (multiplicity 2)
I (0.000, 0.000, 0.249) (multiplicity 4)
I (0.249, 0.249, 0.000) (multiplicity 8)

## Properties
Its density of states at the Fermi level is 10.30 states/eV/f.u. The value obtained for the energy is -3.754 eV per atom.

***

No. 16
Material: Rb2HfWI6
Method: DFT, GGA-PBE
State: relaxed

a = 8.254 Å, b = 8.254 Å, c = 11.629 Å
α = 90.00°, β = 90.00°, γ = 90.00°
Space group I4/mmm (No. 139)
Asymmetric unit:
Rb (0.000, 0.500, 0.250) (multiplicity 4)
Hf (0.000, 0.000, 0.000) (multiplicity 2)
W (0.000, 0.000, 0.500) (multiplicity 2)
I (0.000, 0.000, 0.251) (multiplicity 4)
I (0.250, 0.250, 0.000) (multiplicity 8)

## Properties
Its density of states at the Fermi level is 4.71 states/eV/f.u. The value obtained for the energy is -3.769 eV per atom.

***

No. 17
Material: RbHfZr2I
Method: DFT, GGA-PBE
State: relaxed

a = 5.067 Å, b = 5.067 Å, c = 5.795 Å
α = 90.00°, β = 90.00°, γ = 90.00°
Space group P4/mmm (No. 123)
Asymmetric unit:
Rb (0.000, 0.000, 0.000) (multiplicity 1)
Hf (0.500, 0.500, 0.500) (multiplicity 1)
Zr (0.000, 0.500, 0.000) (multiplicity 2)
I (0.000, 0.000, 0.500) (multiplicity 1)

## Properties
Its density of states at the Fermi level is 6.61 states/eV/f.u. The value obtained for the energy is -3.845 eV per atom.

***

No. 18
Material: Rb2HfZrI6
Method: DFT, GGA-PBE
State: relaxed

a = 11.714 Å, b = 11.714 Å, c = 11.714 Å
α = 90.00°, β = 90.00°, γ = 90.00°
Space group Fm-3m (No. 225)
Asymmetric unit:
Rb (0.250, 0.250, 0.250) (multiplicity 8)
Hf (0.000, 0.000, 0.000) (multiplicity 4)
Zr (0.000, 0.000, 0.500) (multiplicity 4)
I (0.000, 0.000, 0.247) (multiplicity 24)

## Properties
Its density of states at the Fermi level is 8.72 states/eV/f.u. The value obtained for the energy is -3.734 eV per atom.

***

No. 19
Material: Hf3ReI
Method: DFT, GGA-PBE
State: relaxed

a = 5.112 Å, b = 5.112 Å, c = 5.112 Å
α = 90.00°, β = 90.00°, γ = 90.00°
Space group Pm-3m (No. 221)
Asymmetric unit:
Hf (0.000, 0.000, 0.500) (multiplicity 3)
Re (0.000, 0.000, 0.000) (multiplicity 1)
I (0.500, 0.500, 0.500) (multiplicity 1)

## Properties
Its density of states at the Fermi level is 4.34 states/eV/f.u. The value obtained for the energy is -8.192 eV per atom. The calculation puts the polymorph energy (0 for the lowest one) at 0.000 eV/atom.

***

No. 20
Material: Hf3ReI
Method: DFT, GGA-PBE
State: relaxed

a = 5.051 Å, b = 5.051 Å, c = 5.051 Å
α = 90.00°, β = 90.00°, γ = 90.00°
Space group Pm-3m (No. 221)
Asymmetric unit:
Hf (0.000, 0.000, 0.500) (multiplicity 3)
Re (0.500, 0.500, 0.500) (multiplicity 1)
I (0.000, 0.000, 0.000) (multiplicity 1)

## Properties
Its density of states at the Fermi level is 7.28 states/eV/f.u. The value obtained for the energy is -6.932 eV per atom. The calculation puts the polymorph energy (0 for the lowest one) at 1.260 eV/atom.

***

No. 21
Material: HfReSb2I
Method: DFT, GGA-PBE
State: relaxed

a = 5.102 Å, b = 5.102 Å, c = 5.560 Å
α = 90.00°, β = 90.00°, γ = 90.00°
Space group P4/mmm (No. 123)
Asymmetric unit:
Hf (0.000, 0.000, 0.000) (multiplicity 1)
Re (0.500, 0.500, 0.500) (multiplicity 1)
Sb (0.000, 0.500, 0.500) (multiplicity 2)
I (0.500, 0.500, 0.000) (multiplicity 1)

## Properties
Its density of states at the Fermi level is 5.77 states/eV/f.u. The value obtained for the energy is -5.346 eV per atom. The calculation puts the polymorph energy (0 for the lowest one) at 0.000 eV/atom.

***

No. 22
Material: HfReSbI2
Method: DFT, GGA-PBE
State: relaxed

a = 5.565 Å, b = 5.565 Å, c = 5.735 Å
α = 90.00°, β = 90.00°, γ = 90.00°
Space group P4/mmm (No. 123)
Asymmetric unit:
Hf (0.000, 0.000, 0.000) (multiplicity 1)
Re (0.500, 0.500, 0.500) (multiplicity 1)
Sb (0.000, 0.000, 0.500) (multiplicity 1)
I (0.000, 0.500, 0.000) (multiplicity 2)

## Properties
Its density of states at the Fermi level is 3.65 states/eV/f.u. The value obtained for the energy is -4.728 eV per atom. The calculation puts the polymorph energy (0 for the lowest one) at 0.000 eV/atom.

***

No. 23
Material: HfScReI2
Method: DFT, GGA-PBE
State: relaxed

a = 5.541 Å, b = 5.541 Å, c = 4.981 Å
α = 90.00°, β = 90.00°, γ = 90.00°
Space group P4/mmm (No. 123)
Asymmetric unit:
Hf (0.000, 0.000, 0.000) (multiplicity 1)
Sc (0.500, 0.500, 0.500) (multiplicity 1)
Re (0.000, 0.000, 0.500) (multiplicity 1)
I (0.000, 0.500, 0.000) (multiplicity 2)

## Properties
Its density of states at the Fermi level is 5.69 states/eV/f.u. The value obtained for the energy is -5.307 eV per atom.

***

No. 24
Material: Hf2ReSeI
Method: DFT, GGA-PBE
State: relaxed

a = 5.144 Å, b = 5.144 Å, c = 5.047 Å
α = 90.00°, β = 90.00°, γ = 90.00°
Space group P4/mmm (No. 123)
Asymmetric unit:
Hf (0.000, 0.500, 0.000) (multiplicity 2)
Re (0.000, 0.000, 0.000) (multiplicity 1)
Se (0.500, 0.500, 0.500) (multiplicity 1)
I (0.000, 0.000, 0.500) (multiplicity 1)

## Properties
Its density of states at the Fermi level is 4.44 states/eV/f.u. The value obtained for the energy is -6.715 eV per atom.

***

No. 25
Material: HfRe2SnI
Method: DFT, GGA-PBE
State: relaxed

a = 5.011 Å, b = 5.011 Å, c = 5.690 Å
α = 90.00°, β = 90.00°, γ = 90.00°
Space group P4/mmm (No. 123)
Asymmetric unit:
Hf (0.000, 0.000, 0.000) (multiplicity 1)
Re (0.000, 0.500, 0.000) (multiplicity 2)
Sn (0.000, 0.000, 0.500) (multiplicity 1)
I (0.500, 0.500, 0.500) (multiplicity 1)

## Properties
Its density of states at the Fermi level is 4.31 states/eV/f.u. The value obtained for the energy is -6.123 eV per atom.